VASP calculation (PBE-GGA) on a relaxed structure of Mg2TcMo.

Cell lengths 2.6992, 4.6572, 5.3947 Å; angles 90.00, 103.61, 90.00 degrees
Sites, in units of the cell vectors:
Mg (0.0315, 0.0000, 0.2538)
Mg (0.9685, 0.0000, 0.7462)
Tc (0.5000, 0.5000, 0.5000)
Mo (0.5000, 0.5000, 0.0000)

Summary:
space-group type: P2/m, No. 10
total magnetization: 0.000 μB/atom
ΔH_f (0 K): 27.1 kJ/mol of atoms
theoretical density: 6.111 g/cm³
energy relative to the lowest polymorph listed for this composition: 220 meV/atom